Record 1
Below is an optimized crystal structure of V2AgB, with properties calculated at the PBE level.

Results
SG: I-42d
formation energy: 0.511 eV per atom

The structure in extended XYZ format:
```
8
Lattice="-3.026 5.017 -3.070 -4.080 0.697 5.159 -1.999 4.416 2.062" Properties=species:S:1:pos:R:3 pbc="T T T"
V -3.621 2.487 3.160
Ag -4.289 6.145 0.019
V -2.708 4.006 -0.562
Ag 0.000 0.000 0.000
B -4.816 3.985 4.133
V -4.425 5.499 2.660
B -3.553 2.857 1.045
V -7.456 8.267 3.045
```

---

Record 2
Below is an optimized crystal structure of CaHf2I, with properties calculated at the PBE level.

Results
SG: Fm-3m
offset from the most stable computed form: 0.3838 eV per atom

The structure in extended XYZ format:
```
4
Lattice="1.767 1.098 4.828 -2.236 3.842 2.807 -2.930 -1.179 4.202" Properties=species:S:1:pos:R:3 pbc="T T T"
Hf -0.850 0.940 2.959
I -1.700 1.880 5.919
Ca 0.000 0.000 0.000
Hf -2.550 2.821 8.878
```

---

Record 3
Below is an optimized crystal structure of CoHI3, with properties calculated at the PBE level.

Results
SG: P-1
offset from the most stable computed form: 0.0000 eV per atom

The structure in extended XYZ format:
```
10
Lattice="3.874 0.397 -0.215 2.811 7.877 -2.061 -0.886 -3.113 13.118" Properties=species:S:1:pos:R:3 pbc="T T T"
H 1.596 -1.579 10.875
I 2.821 5.675 -0.697
I 1.986 -0.626 4.553
Co 3.082 5.465 3.754
H 2.703 1.285 8.934
I 3.200 3.444 2.138
I 5.176 5.020 5.328
I 0.302 -1.962 11.809
I 3.997 1.667 8.000
Co 4.915 5.230 0.877
```

---

Record 4
Below is an optimized crystal structure of CoWS2Cl, with properties calculated at the PBE level.

Results
SG: P4/mmm
offset from the most stable computed form: 0.0000 eV per atom

The structure in extended XYZ format:
```
5
Lattice="4.662 0.000 0.000 0.000 4.662 0.000 0.000 0.000 4.851" Properties=species:S:1:pos:R:3 pbc="T T T"
S 2.331 0.000 0.000
Cl 0.000 0.000 2.425
S 0.000 2.331 0.000
Co 2.331 2.331 2.425
W 0.000 0.000 0.000
```

---

Record 5
Below is an optimized crystal structure of DyGaCoRu, with properties calculated at the PBE level.

Results
SG: F-43m
formation energy: -0.234 eV per atom

The structure in extended XYZ format:
```
4
Lattice="-1.342 -3.217 2.803 2.318 -3.814 0.301 2.374 -0.889 3.685" Properties=species:S:1:pos:R:3 pbc="T T T"
Co 0.000 0.000 0.000
Dy 0.837 -1.980 1.697
Ga 2.512 -5.941 5.092
Ru 1.675 -3.960 3.394
```

---

Record 6
Below is an optimized crystal structure of ReNiRu2, with properties calculated at the PBE level.

Results
SG: Fm-3m
formation energy: 0.224 eV per atom
offset from the most stable computed form: 0.1639 eV per atom

The structure in extended XYZ format:
```
4
Lattice="0.000 3.015 3.015 3.015 0.000 3.015 3.015 3.015 0.000" Properties=species:S:1:pos:R:3 pbc="T T T"
Ru 1.508 1.508 1.508
Ni 0.000 0.000 0.000
Ru 4.523 4.523 4.523
Re 3.015 3.015 3.015
```

---

Record 7
Below is an optimized crystal structure of Ce2BiPd, with properties calculated at the PBE level.

Results
SG: P4/mmm
formation energy: -0.584 eV per atom
offset from the most stable computed form: 0.0000 eV per atom

The structure in extended XYZ format:
```
4
Lattice="3.914 0.000 0.000 0.000 3.914 0.000 0.000 0.000 6.777" Properties=species:S:1:pos:R:3 pbc="T T T"
Pd 1.957 1.957 0.000
Bi 1.957 1.957 3.389
Ce 0.000 0.000 1.464
Ce 0.000 0.000 5.313
```

---

Record 8
Below is an optimized crystal structure of Li2Nd5Te6, with properties calculated at the PBE level.

Results
SG: Pbam
total energy: -125.84 eV for the cell shown

The structure in extended XYZ format:
```
26
Lattice="4.321 0.000 0.000 0.000 11.696 0.000 0.000 0.000 15.206" Properties=species:S:1:pos:R:3 pbc="T T T"
Te 2.160 3.853 2.468
Te 0.000 1.916 6.189
Te 0.000 9.781 9.017
Nd 2.160 5.848 0.000
Nd 2.160 10.685 11.232
Nd 2.160 7.697 7.688
Nd 2.160 3.999 7.518
Nd 2.160 4.837 11.578
Li 0.000 9.729 3.445
Li 0.000 7.815 11.049
Li 0.000 3.881 4.158
Te 2.160 7.844 12.738
Nd 2.160 1.849 15.121
Te 0.000 6.040 5.847
Nd 2.160 6.859 3.629
Li 0.000 1.967 11.761
Nd 2.160 0.000 7.603
Nd 2.160 1.011 3.975
Te 0.000 0.192 1.756
Te 0.000 7.764 1.414
Nd 2.160 9.848 0.085
Te 0.000 11.505 13.450
Te 0.000 3.933 13.792
Te 2.160 1.995 10.071
Te 2.160 9.701 5.135
Te 0.000 5.656 9.359
```

---

Record 9
Below is an optimized crystal structure of Be2SiRu, with properties calculated at the PBE level.

Results
SG: Pnma
total energy: -92.57 eV for the cell shown

The structure in extended XYZ format:
```
16
Lattice="4.490 0.000 0.000 0.000 7.558 0.000 0.000 0.000 5.609" Properties=species:S:1:pos:R:3 pbc="T T T"
Be 0.387 4.033 4.617
Ru 1.637 5.669 3.561
Be 0.387 7.304 4.617
Si 0.602 1.890 2.807
Ru 0.608 5.669 0.757
Be 2.632 3.525 3.796
Ru 3.882 1.890 4.852
Ru 2.853 1.890 2.047
Be 1.858 4.033 1.813
Be 1.858 7.304 1.813
Si 3.888 5.669 2.802
Be 4.103 0.254 0.991
Be 4.103 3.525 0.991
Si 2.847 5.669 5.606
Si 1.643 1.890 0.003
Be 2.632 0.254 3.796
```

---

Record 10
Below is an optimized crystal structure of Sm4HoS6, with properties calculated at the PBE level.

Results
SG: Cmcm
total energy: -140.97 eV for the cell shown

The structure in extended XYZ format:
```
22
Lattice="-0.411 3.811 -0.615 -3.990 -3.155 -4.628 -15.433 0.436 13.009" Properties=species:S:1:pos:R:3 pbc="T T T"
Sm -9.157 -0.862 0.775
Sm -8.263 -0.149 4.598
S -7.922 2.123 6.197
Ho -5.343 1.633 1.439
S -14.281 1.084 4.008
S -16.756 1.154 6.094
Sm -11.571 1.241 3.167
Sm -18.036 1.423 8.617
S -3.868 1.268 -1.809
Sm -5.437 -0.967 -2.361
S -6.379 -0.641 0.287
S -13.455 1.734 7.479
S -8.805 1.408 2.352
S -5.553 0.008 3.758
Ho -14.490 -0.541 6.326
Sm -1.798 -0.331 -0.852
Sm -10.677 1.954 6.991
Sm -14.397 2.059 10.127
S -11.029 -0.315 5.414
S -0.205 1.906 -0.308
S -15.966 -0.176 9.575
S -3.078 -0.062 1.671
```

---

Record 11
Below is an optimized crystal structure of Sc10Pb4C3, with properties calculated at the PBE level.

Results
SG: I4/mmm
formation energy: -0.651 eV per atom

The structure in extended XYZ format:
```
17
Lattice="-2.236 3.954 0.075 -3.451 -1.993 2.181 9.936 2.751 13.508" Properties=species:S:1:pos:R:3 pbc="T T T"
Pb -1.874 1.491 3.128
C 2.299 3.686 11.739
Sc 0.826 3.000 4.048
Sc -1.118 1.977 0.038
C 0.000 0.000 0.000
Sc 3.424 1.713 11.716
Sc 4.032 4.686 10.663
Pb 0.027 2.491 7.051
Sc 1.330 3.176 9.740
Sc 0.972 0.511 2.006
Sc 0.218 0.026 5.101
Sc 3.278 4.201 13.758
Sc 2.919 1.536 6.024
Sc -1.726 -0.996 1.090
Pb 6.124 3.222 12.636
Pb 4.223 2.222 8.713
C 1.950 1.026 4.025
```

---

Record 12
Below is an optimized crystal structure of Li2SiAu5, with properties calculated at the PBE level.

Results
SG: Pbam
offset from the most stable computed form: 0.0000 eV per atom

The structure in extended XYZ format:
```
16
Lattice="-3.224 2.807 0.317 -3.455 -3.724 -2.158 -2.253 -3.721 10.025" Properties=species:S:1:pos:R:3 pbc="T T T"
Au -6.014 -4.501 7.668
Au -3.206 -4.443 6.726
Au -2.918 -0.136 0.517
Li -3.527 -1.124 3.063
Li -5.405 -3.514 5.122
Si -1.126 -1.861 5.013
Au -0.834 -1.240 2.491
Li -4.167 -2.460 8.379
Au -4.873 -6.205 5.376
Au -3.623 -1.542 5.793
Au -5.309 -3.095 2.392
Li -4.765 -2.177 -0.195
Si -1.727 -1.862 -1.079
Au 0.000 0.000 0.000
Au -2.854 -3.722 3.934
Au -2.501 -3.002 1.142
```